# 1
This record from Alexandria via LeMat-Bulk describes crystalline VAs2Ru at its relaxed geometry. The functional is PBE.

## Properties
The value obtained for the excess energy over the best structure of this formula in the dataset is 0.157 eV/atom. Its space group is R-3m (166). For the calculated density, the calculation gives 7903 kg/m³. The value obtained for the formation energy is 0.04 eV/atom.

Lattice parameters (Å, degrees): 2.9312 2.9312 8.6907 80.29 80.29 60.00
Last column: nearest neighbours and their distance in Å.
Atoms (fractional coordinates):
V (0.5000, 0.5000, 0.5000)  6 As 2.52
As (0.0935, 0.0935, 0.7196)  1 Ru 2.39, 3 V 2.52
As (0.9065, 0.9065, 0.2804)  1 Ru 2.39, 3 V 2.52
Ru (0.0000, 0.0000, 0.0000)  2 As 2.39

---

# 2
This record from Alexandria via LeMat-Bulk describes crystalline VAs2Ru at its relaxed geometry. The functional is PBE.

## Properties
The value obtained for the excess energy over the best structure of this formula in the dataset is 0.000 eV/atom. Its space group is Fm-3m (225). For the calculated density, the calculation gives 8666 kg/m³. The value obtained for the formation energy is -0.12 eV/atom.

Lattice parameters (Å, degrees): 4.3410 4.3410 4.3410 60.00 60.00 60.00
Last column: nearest neighbours and their distance in Å.
Atoms (fractional coordinates):
As (0.2500, 0.2500, 0.2500)  4 Ru 2.66, 4 V 2.66
V (0.0000, 0.0000, 0.0000)  8 As 2.66
Ru (0.5000, 0.5000, 0.5000)  8 As 2.66
As (0.7500, 0.7500, 0.7500)  4 Ru 2.66, 4 V 2.66

---

# 3
This record from Alexandria via LeMat-Bulk describes crystalline V3AsRu at its relaxed geometry. The functional is PBE.

## Properties
The value obtained for the excess energy over the best structure of this formula in the dataset is 0.000 eV/atom. Its space group is Pm-3m (221). For the calculated density, the calculation gives 6384 kg/m³. The value obtained for the formation energy is 0.91 eV/atom.

Lattice parameters (Å, degrees): 4.4058 4.4058 4.4058 90.00 90.00 90.00
Last column: nearest neighbours and their distance in Å.
Atoms (fractional coordinates):
Ru (0.5000, 0.5000, 0.5000)  12 V 3.12
As (0.0000, 0.0000, 0.0000)  6 V 2.20
V (0.5000, 0.0000, 0.0000)  2 As 2.20
V (0.0000, 0.5000, 0.0000)  2 As 2.20
V (0.0000, 0.0000, 0.5000)  2 As 2.20